Entry 1:
Compound: TlNi3Te3
Source: Alexandria via LeMat-Bulk
Functional: PBE
Structure: relaxed

Structure (POSCAR):
```
TlNi3Te3
1.0
9.3091 0.0000 0.0000
-4.6546 8.0620 0.0000
0.0000 0.0000 4.3012
Tl Ni Te
2 6 6
Cartesian
0.0000 5.3746 1.0753 Tl
4.6546 2.6873 3.2259 Tl
-0.6398 1.4249 1.0753 Ni
-3.1006 7.9036 1.0753 Ni
0.9141 1.2666 3.2259 Ni
3.7404 6.7954 1.0753 Ni
7.7552 0.1584 3.2259 Ni
5.2944 6.6370 3.2259 Ni
-1.2151 2.7214 3.2259 Te
-1.6902 7.7536 3.2259 Te
1.7492 2.4130 1.0753 Te
2.9053 5.6489 3.2259 Te
6.3448 0.3084 1.0753 Te
5.8697 5.3405 1.0753 Te
```

Output
* space group: P6_3/m (176)
* final energy: -4.331 eV/atom

Entry 2:
Compound: CoAgOsW2
Source: Alexandria via LeMat-Bulk
Functional: PBE
Structure: relaxed

Structure (POSCAR):
```
CoAgOsW2
1.0
4.7381 0.0000 0.0000
0.0000 4.7381 0.0000
0.0000 0.0000 4.5426
Co Ag Os W
1 1 1 2
Cartesian
0.0000 0.0000 0.0000 Co
2.3691 2.3691 0.0000 Ag
0.0000 0.0000 2.2713 Os
0.0000 2.3691 2.2713 W
2.3691 0.0000 2.2713 W
```

Output
* space group: P4/mmm (123)
* formation energy from the elements: 1.820 eV per atom

Entry 3:
Compound: Ho6GaAg5
Source: Alexandria via LeMat-Bulk
Functional: PBE
Structure: relaxed

Structure (POSCAR):
```
Ho6GaAg5
1.0
2.5493 -7.6446 0.0000
2.5493 7.6446 0.0000
0.0000 0.0000 7.2476
Ho Ga Ag
6 1 5
Cartesian
0.0000 0.0000 1.8032 Ho
0.0000 0.0000 5.4445 Ho
2.5493 2.5283 1.8062 Ho
2.5493 2.5283 5.4415 Ho
2.5493 -2.5283 1.8062 Ho
2.5493 -2.5283 5.4415 Ho
2.5493 0.0000 0.0000 Ga
2.5493 5.1126 0.0000 Ag
2.5493 5.0769 3.6238 Ag
2.5493 0.0000 3.6238 Ag
2.5493 -5.0769 3.6238 Ag
2.5493 -5.1126 0.0000 Ag
```

Output
* space group: Cmmm (65)
* formation energy from the elements: -0.373 eV per atom

Entry 4:
Compound: Tm4HgRh5
Source: Alexandria via LeMat-Bulk
Functional: PBE
Structure: relaxed

Structure (POSCAR):
```
Tm4HgRh5
1.0
3.3840 0.0000 0.0000
0.0000 3.3840 0.0000
0.0000 0.0000 16.4397
Tm Hg Rh
4 1 5
Cartesian
0.0000 0.0000 1.6870 Tm
0.0000 0.0000 5.0669 Tm
0.0000 0.0000 11.3728 Tm
0.0000 0.0000 14.7527 Tm
0.0000 0.0000 8.2198 Hg
1.6920 1.6920 0.0000 Rh
1.6920 1.6920 3.3267 Rh
1.6920 1.6920 6.5977 Rh
1.6920 1.6920 9.8420 Rh
1.6920 1.6920 13.1129 Rh
```

Output
* space group: P4/mmm (123)
* formation energy from the elements: -0.784 eV per atom

Entry 5:
Compound: Ac2NdMg9
Source: Alexandria via LeMat-Bulk
Functional: PBE
Structure: relaxed

Structure (POSCAR):
```
Ac2NdMg9
1.0
3.1091 1.7951 10.0982
-3.1091 1.7951 10.0982
0.0000 -3.5901 10.0982
Ac Nd Mg
2 1 9
Cartesian
0.0000 0.0000 4.3019 Ac
0.0000 0.0000 25.9929 Ac
0.0000 0.0000 0.0000 Nd
-1.5625 -0.9021 12.5498 Mg
0.0000 0.0000 10.1177 Mg
0.0000 -1.8043 17.7450 Mg
-1.5625 0.9021 17.7450 Mg
0.0000 0.0000 15.1474 Mg
1.5625 -0.9021 12.5497 Mg
0.0000 1.8043 12.5497 Mg
0.0000 0.0000 20.1770 Mg
1.5625 0.9021 17.7450 Mg
```

Output
* space group: R-3m (166)
* formation energy from the elements: -0.067 eV per atom

Entry 6:
Compound: PmRh4
Source: Alexandria via LeMat-Bulk
Functional: PBE
Structure: relaxed

Structure (POSCAR):
```
PmRh4
1.0
4.8717 0.0000 0.0000
0.0000 4.8717 0.0000
0.0000 0.0000 4.8717
Pm Rh
1 4
Cartesian
0.0000 0.0000 0.0000 Pm
0.0000 0.0000 2.4359 Rh
0.0000 2.4359 0.0000 Rh
2.4359 0.0000 0.0000 Rh
2.4359 2.4359 2.4359 Rh
```

Output
* space group: Pm-3m (221)
* formation energy from the elements: 1.599 eV per atom

Entry 7:
Compound: RbPbAu
Source: Alexandria via LeMat-Bulk
Functional: PBE
Structure: relaxed

Structure (POSCAR):
```
RbPbAu
1.0
4.9442 0.0000 0.0000
-2.4721 4.2818 0.0000
0.0000 0.0000 5.2590
Rb Pb Au
1 1 1
Cartesian
0.0000 0.0000 0.0000 Rb
2.4721 1.4273 2.6295 Pb
0.0000 2.8545 2.6295 Au
```

Output
* space group: P-6m2 (187)
* energy above the lowest structure with this stoichiometry: 47 meV/atom
* formation energy from the elements: -0.145 eV per atom

Entry 8:
Compound: YErMn17
Source: Alexandria via LeMat-Bulk
Functional: PBE
Structure: relaxed

Structure (POSCAR):
```
YErMn17
1.0
4.3158 2.4917 3.8774
-4.3158 2.4917 3.8774
0.0000 -4.9834 3.8774
Y Er Mn
1 1 17
Cartesian
0.0000 0.0000 0.0000 Y
0.0000 0.0000 3.3736 Er
0.0000 -2.5904 2.0221 Mn
-2.2434 1.2952 2.0221 Mn
-2.1568 -1.2452 5.5556 Mn
0.0000 -2.3832 5.2189 Mn
-2.0639 1.1916 5.2189 Mn
-1.1878 -2.0600 7.4953 Mn
-2.3779 0.0013 7.4953 Mn
2.2434 1.2952 2.0221 Mn
0.0000 0.0000 6.3347 Mn
2.1568 -1.2452 5.5556 Mn
1.1878 -2.0600 7.4953 Mn
0.0000 2.4905 5.5556 Mn
-1.1901 2.0587 7.4953 Mn
0.0000 0.0000 8.6528 Mn
2.0639 1.1916 5.2189 Mn
2.3779 0.0013 7.4953 Mn
1.1901 2.0587 7.4953 Mn
```

Output
* space group: R3m (160)
* formation energy from the elements: -0.004 eV per atom

Entry 9:
Compound: MnPd8Au6
Source: Alexandria via LeMat-Bulk
Functional: PBE
Structure: relaxed

Structure (POSCAR):
```
MnPd8Au6
1.0
3.8839 2.2424 4.8598
-3.8839 2.2424 4.8598
0.0000 -4.4847 4.8598
Mn Pd Au
1 8 6
Cartesian
0.0000 0.0000 0.0000 Mn
-1.2297 -2.9564 6.2509 Pd
-3.1752 -0.4133 8.3287 Pd
0.0000 0.0000 3.5430 Pd
-1.9455 2.5432 6.2509 Pd
1.9455 -2.5432 8.3287 Pd
0.0000 0.0000 11.0365 Pd
3.1752 0.4133 6.2509 Pd
1.2297 2.9564 8.3287 Pd
-1.6953 -0.2001 5.9612 Au
-0.6743 -1.5682 8.6183 Au
1.0210 -1.3681 5.9612 Au
-1.0210 1.3681 8.6183 Au
0.6743 1.5682 5.9612 Au
1.6953 0.2001 8.6183 Au
```

Output
* space group: R-3 (148)
* formation energy from the elements: 0.035 eV per atom

Entry 10:
Compound: Li15TlCd4
Source: Alexandria via LeMat-Bulk
Functional: PBE
Structure: relaxed

Structure (POSCAR):
```
Li15TlCd4
1.0
4.4463 0.0000 0.0000
0.0000 4.4463 0.0000
0.0000 0.0000 18.7648
Li Tl Cd
15 1 4
Cartesian
0.0000 0.0000 0.0000 Li
0.0000 0.0000 3.7755 Li
0.0000 0.0000 7.5183 Li
0.0000 0.0000 11.2465 Li
0.0000 0.0000 14.9893 Li
0.0000 2.2231 1.9050 Li
0.0000 2.2231 5.6540 Li
0.0000 2.2231 9.3824 Li
0.0000 2.2231 13.1109 Li
0.0000 2.2231 16.8598 Li
2.2231 0.0000 1.9050 Li
2.2231 0.0000 5.6540 Li
2.2231 0.0000 9.3824 Li
2.2231 0.0000 13.1109 Li
2.2231 0.0000 16.8598 Li
2.2231 2.2231 0.0000 Tl
2.2231 2.2231 3.7914 Cd
2.2231 2.2231 7.5173 Cd
2.2231 2.2231 11.2475 Cd
2.2231 2.2231 14.9735 Cd
```

Output
* space group: P4/mmm (123)
* formation energy from the elements: -0.178 eV per atom

Entry 11:
Compound: AgRhAu2
Source: Alexandria via LeMat-Bulk
Functional: PBE
Structure: relaxed

Structure (POSCAR):
```
AgRhAu2
1.0
2.8286 0.0000 0.0000
0.0000 4.1114 0.0000
0.0000 0.0000 5.8458
Ag Rh Au
1 1 2
Cartesian
0.0000 0.0000 0.0000 Ag
1.4143 2.0557 4.3929 Rh
0.0000 0.0000 3.0178 Au
1.4143 2.0557 1.4633 Au
```

Output
* space group: Pmm2 (25)
* energy above the lowest structure with this stoichiometry: 63 meV/atom
* formation energy from the elements: 0.144 eV per atom

Entry 12:
Compound: Ti2ReGe4
Source: Alexandria via LeMat-Bulk
Functional: PBE
Structure: relaxed

Structure (POSCAR):
```
Ti2ReGe4
1.0
4.7780 0.0000 0.0000
0.0000 4.7780 0.0000
0.0000 0.0000 12.7021
Ti Re Ge
4 2 8
Cartesian
0.0000 0.0000 1.2800 Ti
0.0000 0.0000 11.4221 Ti
2.3890 2.3890 5.0710 Ti
2.3890 2.3890 7.6311 Ti
0.0000 0.0000 6.3510 Re
2.3890 2.3890 0.0000 Re
0.0000 0.0000 3.8251 Ge
0.0000 0.0000 8.8770 Ge
0.0000 2.3890 0.0000 Ge
0.0000 2.3890 6.3510 Ge
2.3890 0.0000 0.0000 Ge
2.3890 0.0000 6.3510 Ge
2.3890 2.3890 2.5260 Ge
2.3890 2.3890 10.1761 Ge
```

Output
* space group: I4/mmm (139)
* formation energy from the elements: 0.312 eV per atom

Entry 13:
Compound: Sr2LiCa7
Source: Alexandria via LeMat-Bulk
Functional: PBE
Structure: relaxed

Structure (POSCAR):
```
Sr2LiCa7
1.0
0.0000 6.1852 6.1852
6.1852 0.0000 6.1852
6.1852 6.1852 0.0000
Sr Li Ca
2 1 7
Cartesian
3.0926 3.0926 3.0926 Sr
9.2778 9.2778 9.2778 Sr
0.0000 0.0000 0.0000 Li
6.1852 6.1852 2.8948 Ca
6.1852 2.8948 6.1852 Ca
9.4755 6.1852 6.1852 Ca
6.1852 6.1852 6.1852 Ca
2.8948 6.1852 6.1852 Ca
6.1852 9.4755 6.1852 Ca
6.1852 6.1852 9.4755 Ca
```

Output
* space group: Fm-3m (225)
* formation energy from the elements: 0.300 eV per atom

Entry 14:
Compound: Li2LaCl2
Source: Alexandria via LeMat-Bulk
Functional: PBE
Structure: relaxed

Structure (POSCAR):
```
Li2LaCl2
1.0
8.7185 0.0000 0.0000
0.0000 8.7185 0.0000
0.0000 0.0000 3.2110
Li La Cl
4 2 4
Cartesian
0.8663 3.4930 0.0000 Li
3.4930 7.8522 0.0000 Li
5.2255 0.8663 0.0000 Li
7.8522 5.2255 0.0000 Li
0.0000 0.0000 0.0000 La
4.3593 4.3593 0.0000 La
1.1372 5.4965 1.6055 Cl
3.2221 1.1372 1.6055 Cl
5.4965 7.5813 1.6055 Cl
7.5813 3.2221 1.6055 Cl
```

Output
* space group: P4/mbm (127)
* energy above the lowest structure with this stoichiometry: 344 meV/atom

Entry 15:
Compound: LiAs4Ir
Source: Alexandria via LeMat-Bulk
Functional: PBE
Structure: relaxed

Structure (POSCAR):
```
LiAs4Ir
1.0
0.0000 3.8337 3.8337
3.8337 0.0000 3.8337
3.8337 3.8337 0.0000
Li As Ir
1 4 1
Cartesian
0.0000 0.0000 0.0000 Li
4.7997 2.8676 2.8676 As
2.8676 4.7997 2.8676 As
2.8676 2.8676 4.7997 As
4.7997 4.7997 4.7997 As
1.9168 1.9168 1.9168 Ir
```

Output
* space group: F-43m (216)
* formation energy from the elements: 0.549 eV per atom

Entry 16:
Compound: V2SiSn2
Source: Alexandria via LeMat-Bulk
Functional: PBE
Structure: relaxed

Structure (POSCAR):
```
V2SiSn2
1.0
6.4351 0.0000 0.0000
0.0000 6.4351 0.0000
0.0000 0.0000 4.2706
V Si Sn
4 2 4
Cartesian
0.8990 2.3186 0.0000 V
2.3186 5.5361 0.0000 V
4.1165 0.8990 0.0000 V
5.5361 4.1165 0.0000 V
0.0000 0.0000 0.0000 Si
3.2175 3.2175 0.0000 Si
1.0733 4.2908 2.1353 Sn
2.1442 1.0733 2.1353 Sn
4.2908 5.3618 2.1353 Sn
5.3618 2.1442 2.1353 Sn
```

Output
* space group: P4/mbm (127)
* final energy: -6.279 eV/atom

Entry 17:
Compound: VAsRu
Source: Alexandria via LeMat-Bulk
Functional: PBE
Structure: relaxed

Structure (POSCAR):
```
VAsRu
1.0
3.6388 0.0000 0.0000
0.0000 3.6388 0.0000
0.0000 0.0000 6.4654
V As Ru
2 2 2
Cartesian
0.9097 2.7291 0.0000 V
2.7291 0.9097 0.0000 V
0.9097 0.9097 1.8284 As
2.7291 2.7291 4.6370 As
0.9097 0.9097 4.2775 Ru
2.7291 2.7291 2.1879 Ru
```

Output
* space group: P4/nmm (129)
* formation energy from the elements: -0.286 eV per atom

Entry 18:
Compound: NaTiCu2S4
Source: Alexandria via LeMat-Bulk
Functional: PBE
Structure: relaxed

Structure (POSCAR):
```
NaTiCu2S4
1.0
5.8103 0.0000 0.0000
0.0000 5.8103 0.0000
0.0000 0.0000 9.9019
Na Ti Cu S
2 2 4 8
Cartesian
0.0000 0.0000 0.0000 Na
2.9052 2.9052 4.9510 Na
0.0000 0.0000 4.9510 Ti
2.9052 2.9052 0.0000 Ti
0.0000 2.9052 2.4755 Cu
0.0000 2.9052 7.4265 Cu
2.9052 0.0000 2.4755 Cu
2.9052 0.0000 7.4265 Cu
1.2705 1.2705 3.5433 S
1.2705 4.5398 6.3587 S
1.6346 1.6346 8.4942 S
1.6346 4.1757 1.4077 S
4.1757 1.6346 1.4077 S
4.1757 4.1757 8.4942 S
4.5398 1.2705 6.3587 S
4.5398 4.5398 3.5433 S
```

Output
* space group: I-42m (121)
* final energy: -4.979 eV/atom

Entry 19:
Compound: Li13Ca2
Source: Alexandria via LeMat-Bulk
Functional: PBE
Structure: relaxed

Structure (POSCAR):
```
Li13Ca2
1.0
3.8501 2.2229 6.9812
-3.8501 2.2229 6.9812
0.0000 -4.4457 6.9812
Li Ca
13 2
Cartesian
0.0000 0.0000 0.0000 Li
0.0000 -1.7259 6.2551 Li
-1.4947 0.8629 6.2551 Li
0.0000 -1.6076 9.0951 Li
-1.3922 0.8038 9.0951 Li
-1.3922 -0.8038 11.8486 Li
-1.4947 -0.8629 14.6885 Li
1.4947 0.8629 6.2551 Li
1.3922 0.8038 9.0951 Li
1.3922 -0.8038 11.8486 Li
0.0000 1.6076 11.8486 Li
1.4947 -0.8629 14.6885 Li
0.0000 1.7259 14.6885 Li
0.0000 0.0000 3.4420 Ca
0.0000 0.0000 17.5017 Ca
```

Output
* space group: R-3m (166)
* formation energy from the elements: 0.090 eV per atom

Entry 20:
Compound: Ba5Mo
Source: Alexandria via LeMat-Bulk
Functional: PBE
Structure: relaxed

Structure (POSCAR):
```
Ba5Mo
1.0
7.2425 0.0000 0.0000
-3.6213 6.2722 0.0000
0.0000 0.0000 6.4936
Ba Mo
5 1
Cartesian
-2.5120 4.3509 0.0000 Ba
1.1093 1.9213 0.0000 Ba
0.0000 4.1815 3.2468 Ba
3.6213 2.0907 3.2468 Ba
5.0240 0.0000 0.0000 Ba
0.0000 0.0000 3.2468 Mo
```

Output
* space group: P-62m (189)
* energy above the lowest structure with this stoichiometry: 124 meV/atom
* formation energy from the elements: 0.656 eV per atom

Entry 21:
Compound: BaGa2Co
Source: Alexandria via LeMat-Bulk
Functional: PBE
Structure: relaxed

Structure (POSCAR):
```
BaGa2Co
1.0
7.1132 0.0000 0.0000
0.0000 7.1132 0.0000
0.0000 0.0000 7.1132
Ba Ga Co
4 8 4
Cartesian
0.0000 0.0000 0.0000 Ba
0.0000 3.5566 3.5566 Ba
3.5566 0.0000 3.5566 Ba
3.5566 3.5566 0.0000 Ba
1.7783 1.7783 1.7783 Ga
1.7783 1.7783 5.3349 Ga
1.7783 5.3349 1.7783 Ga
1.7783 5.3349 5.3349 Ga
5.3349 1.7783 1.7783 Ga
5.3349 1.7783 5.3349 Ga
5.3349 5.3349 1.7783 Ga
5.3349 5.3349 5.3349 Ga
0.0000 0.0000 3.5566 Co
0.0000 3.5566 0.0000 Co
3.5566 0.0000 0.0000 Co
3.5566 3.5566 3.5566 Co
```

Output
* space group: Fm-3m (225)
* formation energy from the elements: 0.298 eV per atom

Entry 22:
Compound: NaInBi4
Source: Alexandria via LeMat-Bulk
Functional: PBE
Structure: relaxed

Structure (POSCAR):
```
NaInBi4
1.0
3.4081 -9.8319 0.0000
3.4081 9.8319 0.0000
0.0000 0.0000 5.6995
Na In Bi
2 2 8
Cartesian
3.4081 7.4220 4.2746 Na
3.4081 -7.4220 1.4249 Na
3.4081 2.4459 1.4249 In
3.4081 -2.4459 4.2746 In
1.8115 4.1274 4.2746 Bi
1.7492 0.8050 4.2746 Bi
1.7492 -0.8050 1.4249 Bi
1.8115 -4.1274 1.4249 Bi
5.0047 4.1274 4.2746 Bi
5.0671 0.8050 4.2746 Bi
5.0671 -0.8050 1.4249 Bi
5.0047 -4.1274 1.4249 Bi
```

Output
* space group: Cmcm (63)
* energy above the lowest structure with this stoichiometry: 0 meV/atom
* formation energy from the elements: -0.074 eV per atom

Entry 23:
Compound: Ca2PdO
Source: Alexandria via LeMat-Bulk
Functional: PBE
Structure: relaxed

Structure (POSCAR):
```
Ca2PdO
1.0
3.3825 0.0000 0.0000
-1.6913 2.9294 0.0000
0.0000 0.0000 24.0637
Ca Pd O
6 3 3
Cartesian
0.0000 0.0000 2.6038 Ca
0.0000 0.0000 21.4598 Ca
0.0000 1.9529 13.4386 Ca
0.0000 1.9529 18.6463 Ca
1.6913 0.9764 5.4174 Ca
1.6913 0.9764 10.6250 Ca
0.0000 0.0000 0.0000 Pd
0.0000 1.9529 16.0424 Pd
1.6913 0.9764 8.0212 Pd
0.0000 0.0000 12.0318 O
0.0000 1.9529 4.0106 O
1.6913 0.9764 20.0530 O
```

Output
* space group: R-3m (166)
* final energy: -4.822 eV/atom

Number 1: magnetization 0.000 μB per cell. Number 2: magnetization 1.074 μB per cell. Number 3: magnetization 0.000 μB per cell. Number 4: magnetization 0.000 μB per cell. Number 5: magnetization 0.000 μB per cell. Number 6: magnetization 2.491 μB per cell. Number 7: magnetization 0.000 μB per cell. Number 8: magnetization 4.169 μB per cell. Number 9: magnetization 4.015 μB per cell. Number 10: magnetization 0.000 μB per cell. Number 11: magnetization 0.537 μB per cell. Number 12: magnetization 0.000 μB per cell. Number 13: magnetization 0.021 μB per cell. Number 14: magnetization 2.816 μB per cell. Number 15: magnetization 0.000 μB per cell. Number 16: magnetization 0.000 μB per cell. Number 17: magnetization 0.000 μB per cell. Number 18: magnetization 0.000 μB per cell. Number 19: magnetization 0.000 μB per cell. Number 20: magnetization 3.363 μB per cell. Number 21: magnetization 5.051 μB per cell. Number 22: magnetization 0.000 μB per cell. Number 23: magnetization 0.001 μB per cell.